No. 1
The following is a DFT calculation (PBE-GGA) of a relaxed LiSmYGe crystal.

Output
energy of formation from the pure elements	-0.436	eV/atom

a b c (Å): 7.1816 7.1816 7.1816
angles (deg): 90.00 90.00 90.00
Space group F-43m (No. 216)
Symmetry-distinct sites (fractional):
Li 0.0000 0.0000 0.0000
Sm 0.2500 0.2500 0.7500
Y 0.2500 0.2500 0.2500
Ge 0.0000 0.0000 0.5000


No. 2
The following is a DFT calculation (PBE-GGA) of a relaxed Tl2SbSe crystal.

Output
ΔE_f (raw)	-4	kJ/mol of formula units
ΔE to the lowest computed polymorph	0.087	eV/atom

a b c (Å): 4.5986 4.5986 10.7634
angles (deg): 90.00 90.00 90.00
Space group I4/mmm (No. 139)
Symmetry-distinct sites (fractional):
Tl 0.0000 0.5000 0.2500
Sb 0.0000 0.0000 0.0000
Se 0.0000 0.0000 0.5000


No. 3
The following is a DFT calculation (PBE-GGA) of a relaxed NdSm2UAs4 crystal.

Output
energy of formation from the pure elements	-1.317	eV/atom

a b c (Å): 5.9289 5.9289 11.8635
angles (deg): 90.00 90.00 90.00
Space group I-4m2 (No. 119)
Symmetry-distinct sites (fractional):
Nd 0.0000 0.0000 0.0000
Sm 0.0000 0.0000 0.5000
Sm 0.0000 0.5000 0.2500
U 0.0000 0.5000 0.7500
As 0.0000 0.0000 0.2513
As 0.0000 0.5000 0.5074


Number 1: E_tot -4.864 eV per atom. Number 2: E_tot -3.095 eV per atom. Number 3: E_tot -6.829 eV per atom.